Below is a relaxed ScTcHg2 crystal, with properties calculated at the PBE level.

Summary:
* uncorrected energy: -17.1 eV for the cell shown
* formation energy: 41 meV per atom
* energy above the lowest structure with this stoichiometry: 0.000 eV per atom
* symmetry: No. 139

```
ScTcHg2
1.0
-4.5862 -1.9026 -1.8091
0.6501 -3.6585 -3.7575
2.0283 0.6882 4.8310
Hg Sc Tc
2 1 1
Cartesian
-1.9680 -2.7806 -2.7833
0.0000 0.0000 0.0000
0.3552 -2.8754 -0.8549
-2.2630 -1.9975 0.1193
```